PrNd2Er5Sc: relaxed, PBE-GGA.

abc: 5.587 10.228 10.452
angles: 90.00 90.00 105.85
Element x y z (fractional)
Pr1 0.586 0.172 0.957
Pr2 0.414 0.828 0.457
Nd1 0.888 0.776 0.814
Nd2 0.115 0.230 0.733
Nd3 0.112 0.224 0.314
Nd4 0.885 0.770 0.233
Er1 0.376 0.751 0.019
Er2 0.723 0.446 0.823
Er3 0.482 0.964 0.739
Er4 0.297 0.594 0.705
Er5 0.983 0.966 0.521
Er6 0.624 0.249 0.519
Er7 0.277 0.554 0.323
Er8 0.518 0.036 0.239
Er9 0.703 0.406 0.205
Er10 0.017 0.034 0.021
Sc1 0.802 0.605 0.514
Sc2 0.198 0.395 0.014

Space-group type: Cmc2_1, No. 36
Energy of formation, meV/atom: 163


Pr2NdErSc: relaxed, PBE-GGA.

abc: 7.260 8.304 7.083
angles: 125.89 90.00 90.00
Element x y z (fractional)
Pr1 0.500 0.300 0.000
Pr2 0.000 0.700 0.000
Pr3 0.500 0.700 0.000
Pr4 0.000 0.300 0.000
Nd1 0.250 0.729 0.458
Nd2 0.750 0.271 0.542
Er1 0.750 0.741 0.483
Er2 0.250 0.259 0.517
Sc1 0.250 0.990 0.980
Sc2 0.750 0.010 0.020

Space-group type: Cmcm, No. 63
Energy of formation, meV/atom: 353


PrNdEr3Sc: relaxed, PBE-GGA.

abc: 5.007 7.891 9.993
angles: 90.00 90.00 108.50
Element x y z (fractional)
Pr1 0.000 0.000 0.500
Pr2 0.000 0.000 0.000
Nd1 0.498 0.996 0.750
Nd2 0.502 0.004 0.250
Er1 0.670 0.339 0.500
Er2 0.330 0.661 0.500
Er3 0.330 0.661 0.000
Er4 0.670 0.339 0.000
Er5 0.171 0.342 0.750
Er6 0.829 0.658 0.250
Sc1 0.831 0.662 0.750
Sc2 0.169 0.338 0.250

Space-group type: Cmcm, No. 63
Energy of formation, meV/atom: 44


Pr2NdEr5Sc: relaxed, PBE-GGA.

abc: 5.589 10.233 10.472
angles: 90.00 90.00 105.85
Element x y z (fractional)
Pr1 0.887 0.775 0.814
Pr2 0.115 0.231 0.733
Pr3 0.113 0.225 0.314
Pr4 0.885 0.769 0.233
Nd1 0.586 0.173 0.958
Nd2 0.414 0.827 0.458
Er1 0.376 0.752 0.018
Er2 0.723 0.446 0.823
Er3 0.482 0.965 0.739
Er4 0.297 0.594 0.704
Er5 0.983 0.966 0.521
Er6 0.624 0.248 0.518
Er7 0.277 0.554 0.323
Er8 0.518 0.035 0.239
Er9 0.703 0.406 0.204
Er10 0.017 0.034 0.021
Sc1 0.802 0.605 0.514
Sc2 0.198 0.395 0.014

Space-group type: Cmc2_1, No. 36
Energy of formation, meV/atom: 159


Pr6NdEr2Sc: relaxed, PBE-GGA.

abc: 9.523 8.970 8.970
angles: 116.52 93.40 93.40
Element x y z (fractional)
Pr1 0.053 0.116 0.765
Pr2 0.447 0.235 0.884
Pr3 0.947 0.884 0.235
Pr4 0.553 0.765 0.116
Pr5 0.307 0.011 0.445
Pr6 0.193 0.555 0.989
Pr7 0.693 0.989 0.555
Pr8 0.807 0.445 0.011
Pr9 0.113 0.705 0.482
Pr10 0.387 0.518 0.295
Pr11 0.887 0.295 0.518
Pr12 0.613 0.482 0.705
Nd1 0.250 0.972 0.028
Nd2 0.750 0.028 0.972
Er1 0.448 0.794 0.700
Er2 0.052 0.300 0.206
Er3 0.552 0.206 0.300
Er4 0.948 0.700 0.794
Sc1 0.250 0.419 0.581
Sc2 0.750 0.581 0.419

Space-group type: C2/c, No. 15
Energy of formation, meV/atom: 125


PrNd5Er2Sc: relaxed, PBE-GGA.

abc: 5.376 11.315 10.315
angles: 90.00 90.00 103.74
Element x y z (fractional)
Pr1 0.601 0.202 0.008
Pr2 0.399 0.798 0.508
Nd1 0.374 0.748 0.008
Nd2 0.722 0.443 0.820
Nd3 0.500 0.000 0.758
Nd4 0.278 0.557 0.697
Nd5 0.002 0.005 0.508
Nd6 0.626 0.252 0.508
Nd7 0.278 0.556 0.320
Nd8 0.500 0.000 0.258
Nd9 0.722 0.443 0.197
Nd10 0.998 0.995 0.008
Er1 0.884 0.767 0.757
Er2 0.117 0.233 0.759
Er3 0.116 0.233 0.257
Er4 0.883 0.767 0.259
Sc1 0.784 0.567 0.508
Sc2 0.216 0.433 0.008

Space-group type: Cmcm, No. 63
Energy of formation, meV/atom: 131


PrNd2ErSc: relaxed, PBE-GGA.

abc: 6.717 7.740 6.292
angles: 90.00 90.00 90.00
Element x y z (fractional)
Pr1 0.301 0.500 0.750
Pr2 0.699 0.500 0.250
Nd1 0.778 0.708 0.750
Nd2 0.778 0.292 0.750
Nd3 0.222 0.708 0.250
Nd4 0.222 0.292 0.250
Er1 0.596 0.000 0.250
Er2 0.404 0.000 0.750
Sc1 0.000 0.000 0.000
Sc2 0.000 0.000 0.500

Space-group type: Pmma, No. 51
Energy of formation, meV/atom: 191


Pr5NdEr2Sc: relaxed, PBE-GGA.

abc: 5.408 11.336 10.373
angles: 90.00 90.00 103.80
Element x y z (fractional)
Pr1 0.374 0.747 0.008
Pr2 0.722 0.443 0.821
Pr3 0.500 0.000 0.758
Pr4 0.279 0.557 0.696
Pr5 0.002 0.004 0.508
Pr6 0.626 0.253 0.508
Pr7 0.278 0.557 0.321
Pr8 0.500 0.000 0.258
Pr9 0.721 0.443 0.196
Pr10 0.998 0.996 0.008
Nd1 0.601 0.202 0.008
Nd2 0.399 0.798 0.508
Er1 0.884 0.768 0.755
Er2 0.116 0.232 0.761
Er3 0.116 0.232 0.255
Er4 0.884 0.768 0.261
Sc1 0.785 0.570 0.508
Sc2 0.215 0.430 0.008

Space-group type: Cmc2_1, No. 36
Energy of formation, meV/atom: 128


Pr2NdErSe5: relaxed, PBE-GGA.

abc: 5.096 5.096 10.966
angles: 90.00 90.00 90.00
Element x y z (fractional)
Pr1 0.500 0.500 0.320
Pr2 0.500 0.500 0.680
Nd1 0.000 0.000 0.000
Er1 0.000 0.000 0.500
Se1 0.000 0.500 0.500
Se2 0.500 0.000 0.500
Se3 0.000 0.000 0.749
Se4 0.000 0.000 0.251
Se5 0.500 0.500 0.000

Formation energy without anion corrections, eV/atom: -1.34
Space-group type: P4/mmm, No. 123


Pr2NdErSe4: relaxed, PBE-GGA.

abc: 4.131 7.272 7.373
angles: 108.61 90.00 90.00
Element x y z (fractional)
Pr1 0.500 0.000 0.500
Pr2 0.000 0.500 0.500
Nd1 0.000 0.000 0.000
Er1 0.500 0.500 0.000
Se1 0.500 0.255 0.240
Se2 0.500 0.745 0.760
Se3 0.000 0.264 0.766
Se4 0.000 0.736 0.234

Formation energy without anion corrections, eV/atom: -1.80
Space-group type: P2/m, No. 10


no.,spin magnetization (μB/atom)
1,0.000
2,0.000
3,0.000
4,0.003
5,0.000
6,0.000
7,0.000
8,0.000
9,0.000
10,0.000